[1]
Dy3HoCd | Alexandria | PBE | relaxed; energy above the most stable polymorph in this dataset = 162.6 meV per atom; density = 8.373 Mg/m³; E_form = 0.3 eV per formula unit
1.0
6.797 -6.725 0.000
6.797 6.725 0.000
-1.047 0.000 6.637
Dy Ho Cd
12 4 4
Direct
0.030 0.175 0.110
0.173 0.497 0.975
0.175 0.030 0.610
0.229 0.386 0.472
0.386 0.229 0.972
0.497 0.173 0.475
0.503 0.827 0.525
0.614 0.771 0.028
0.771 0.614 0.528
0.825 0.970 0.390
0.827 0.503 0.025
0.970 0.825 0.890
0.080 0.708 0.363
0.292 0.920 0.137
0.708 0.080 0.863
0.920 0.292 0.637
0.287 0.713 0.750
0.479 0.521 0.250
0.521 0.479 0.750
0.713 0.287 0.250



[2]
RbEr2Ni | Alexandria | PBE | relaxed; density = 5.169 Mg/m³; E_form = 0.1 eV per formula unit
1.0
2.005 1.157 11.047
-2.005 1.157 11.047
0.000 -2.315 11.047
Rb Er Ni
1 2 1
Direct
0.000 0.000 0.000
0.126 0.126 0.126
0.874 0.874 0.874
0.500 0.500 0.500



[3]
RbAlAsSe2 | Alexandria | PBE | relaxed; energy above the most stable polymorph in this dataset = 1463.9 meV per atom; density = 2.319 Mg/m³; formation energy (no corrections) = 1192 meV/atom
1.0
6.212 0.000 0.000
0.000 6.212 0.000
0.000 0.000 6.405
Rb Al As Se
1 1 1 2
Direct
0.000 0.000 0.000
0.500 0.500 0.500
0.000 0.000 0.500
0.000 0.500 0.000
0.500 0.000 0.000



no.,total magnetization (μB/f.u.)
1,0.00
2,0.00
3,5.06